[1]
The following is a DFT calculation (GGA-PBE) of a relaxed structure of Zr2Sc4Ni3N3.

Calculated values
**Uncorrected energy**: -7.987 eV per atom
**Total magnetic moment**: 0.01 μB/f.u.

Structure (POSCAR):
```
Zr2Sc4Ni3N3
1.0
0.3068 5.1205 1.8723
-4.4133 2.3851 2.1571
4.7457 -7.0954 10.5059
N Ni Sc Zr
6 6 8 4
Direct
0.6617 0.1771 0.0000
0.0000 0.5000 0.0000
0.3383 0.8229 0.0000
0.1771 0.6617 0.5000
0.5000 0.0000 0.5000
0.8229 0.3383 0.5000
0.8999 0.5847 0.2497
0.9263 0.0737 0.2500
0.4153 0.1001 0.2503
0.5847 0.8999 0.7497
0.0737 0.9263 0.7500
0.1001 0.4153 0.7503
0.6980 0.8640 0.0916
0.0305 0.1988 0.0916
0.8012 0.9695 0.4084
0.1360 0.3020 0.4084
0.8640 0.6980 0.5916
0.1988 0.0305 0.5916
0.9695 0.8012 0.9084
0.3020 0.1360 0.9084
0.3715 0.5376 0.1102
0.4624 0.6285 0.3898
0.5376 0.3715 0.6102
0.6285 0.4624 0.8898
```

=====

[2]
The following is a DFT calculation (GGA-PBE) of a relaxed structure of CoH9C13S2N7.

Calculated values
**Uncorrected energy**: -6.902 eV per atom
**Total magnetic moment**: 2.99 μB/f.u.

Structure (POSCAR):
```
CoH9C13S2N7
1.0
-2.5698 4.0116 -6.3382
-5.7149 -0.8478 5.5847
6.9002 9.3769 7.0449
C Co H N S
26 2 18 14 4
Direct
0.4942 0.2348 0.0016
0.2553 0.5241 0.0061
0.4144 0.6777 0.0665
0.9279 0.0052 0.1736
0.5661 0.3063 0.1930
0.4149 0.1604 0.2076
0.3291 0.7117 0.3033
0.4026 0.1545 0.3080
0.6821 0.4290 0.3664
0.5361 0.2892 0.3895
0.9821 0.2225 0.4232
0.1409 0.3843 0.4571
0.0738 0.8270 0.4880
0.9262 0.1730 0.5120
0.8591 0.6157 0.5429
0.0179 0.7775 0.5768
0.4639 0.7108 0.6105
0.3179 0.5710 0.6336
0.5974 0.8455 0.6920
0.6709 0.2883 0.6967
0.5851 0.8396 0.7924
0.4339 0.6937 0.8070
0.0721 0.9948 0.8264
0.5856 0.3223 0.9335
0.7447 0.4759 0.9939
0.5058 0.7652 0.9984
0.9103 0.6418 0.2378
0.0897 0.3582 0.7622
0.6343 0.8884 0.0109
0.1475 0.4174 0.0298
0.3099 0.0558 0.1439
0.4594 0.7183 0.1493
0.2850 0.0426 0.3219
0.9151 0.1494 0.3449
0.2294 0.4729 0.4160
0.5260 0.2845 0.4679
0.1934 0.9453 0.4819
0.8066 0.0547 0.5181
0.4740 0.7155 0.5321
0.7706 0.5271 0.5840
0.0849 0.8506 0.6551
0.7150 0.9574 0.6781
0.5406 0.2817 0.8507
0.6901 0.9442 0.8561
0.8524 0.5826 0.9702
0.3657 0.1116 0.9891
0.7518 0.4831 0.0932
0.5969 0.3345 0.0971
0.9162 0.8728 0.2105
0.1632 0.6568 0.2634
0.6967 0.4367 0.2705
0.9573 0.7047 0.4046
0.8264 0.5747 0.4390
0.1736 0.4253 0.5610
0.0427 0.2953 0.5954
0.3033 0.5633 0.7295
0.8368 0.3432 0.7366
0.0838 0.1272 0.7895
0.4031 0.6655 0.9029
0.2482 0.5169 0.9068
0.9420 0.1861 0.1264
0.5541 0.7842 0.3538
0.4459 0.2158 0.6462
0.0580 0.8139 0.8736
```